Record 1
Zr3Zn2Pd3: relaxed, PBE.

Results
- Total energy: -96.321 eV/cell

a = 7.9691 Å, b = 7.9691 Å, c = 5.2544 Å
α = 90.00°, β = 90.00°, γ = 120.00°
Space group P6_3/mcm (No. 193)
One atom of each set of equivalent atoms:
1 Zr 0.0000 0.2537 0.2500 [6 per cell]
2 Zn 0.3333 0.6667 0.0000 [4 per cell]
3 Pd 0.0000 0.3982 0.7500 [6 per cell]


Record 2
Tb2HoIn: relaxed, PBE.

Results
- Polymorph energy (0 for the lowest one): 0.000 eV/atom
- Total energy: -17.646 eV/cell

a = 4.849 Å, b = 4.849 Å, c = 4.851 Å
α = 90.00°, β = 90.00°, γ = 90.00°
Space group P4/mmm (No. 123)
One atom of each set of equivalent atoms:
1 Tb 0.000 0.500 0.000 [2 per cell]
2 Ho 0.000 0.000 0.500 [1 per cell]
3 In 0.500 0.500 0.500 [1 per cell]


Record 3
CuTe: relaxed, PBE.

Results
- Formation energy without anion corrections: 5.2 kcal/mol of atoms
- Total energy: -20.350 eV/cell

a = 5.367 Å, b = 5.367 Å, c = 5.349 Å
α = 90.00°, β = 90.00°, γ = 90.00°
Space group P4/mmm (No. 123)
One atom of each set of equivalent atoms:
1 Cu 0.000 0.000 0.000 [1 per cell]
2 Cu 0.000 0.500 0.500 [2 per cell]
3 Te 0.000 0.000 0.500 [1 per cell]
4 Te 0.000 0.500 0.000 [2 per cell]


Record 4
VFeH3: relaxed, PBE.

Results
- Total energy: -55.598 eV/cell

a = 3.370 Å, b = 4.043 Å, c = 4.921 Å
α = 90.00°, β = 110.04°, γ = 90.00°
Space group P2_1/m (No. 11)
One atom of each set of equivalent atoms:
1 V 0.127 0.250 0.256 [2 per cell]
2 Fe 0.429 0.250 0.859 [2 per cell]
3 H 0.082 0.750 0.162 [2 per cell]
4 H 0.304 0.522 0.608 [4 per cell]


Record 5
LaZn2Se: relaxed, PBE.

Results
- Formation energy without anion corrections: -15.8 kcal/mol of atoms
- Total energy: -27.397 eV/cell

a = 7.765 Å, b = 4.465 Å, c = 6.261 Å
α = 90.00°, β = 91.35°, γ = 90.00°
Space group Cm (No. 8)
One atom of each set of equivalent atoms:
1 La 0.000 0.000 0.000 [2 per cell]
2 Zn 0.176 0.500 0.320 [2 per cell]
3 Zn 0.344 0.000 0.353 [2 per cell]
4 Se 0.328 0.000 0.769 [2 per cell]


Record 6
CePu2PtN4: relaxed, PBE.

Results
- Formation energy without anion corrections: -22.2 kcal/mol of atoms
- Total energy: -326.564 eV/cell

a = 3.582 Å, b = 11.548 Å, c = 12.018 Å
α = 90.00°, β = 90.00°, γ = 90.00°
Space group Cmcm (No. 63)
One atom of each set of equivalent atoms:
1 Ce 0.000 0.073 0.250 [4 per cell]
2 Pu 0.000 0.368 0.059 [8 per cell]
3 Pt 0.000 0.225 0.750 [4 per cell]
4 N 0.000 0.000 0.000 [4 per cell]
5 N 0.000 0.254 0.586 [8 per cell]
6 N 0.000 0.460 0.250 [4 per cell]


Record 7
Ho7PbS5: relaxed, PBE.

Results
- Formation energy without anion corrections: -37.4 kcal/mol of atoms
- Total energy: -309.806 eV/cell

a = 3.932 Å, b = 12.919 Å, c = 23.379 Å
α = 90.00°, β = 90.00°, γ = 90.00°
Space group Cmcm (No. 63)
One atom of each set of equivalent atoms:
1 Ho 0.000 0.012 0.250 [4 per cell]
2 Ho 0.000 0.137 0.536 [8 per cell]
3 Ho 0.000 0.326 0.171 [8 per cell]
4 Ho 0.000 0.407 0.611 [8 per cell]
5 Pb 0.000 0.303 0.750 [4 per cell]
6 S 0.000 0.043 0.639 [8 per cell]
7 S 0.000 0.227 0.070 [8 per cell]
8 S 0.000 0.500 0.000 [4 per cell]


Record 8
CsCF5: relaxed, PBE.

Results
- Formation energy without anion corrections: -46.8 kcal/mol of atoms
- Total energy: -67.268 eV/cell

a = 8.057 Å, b = 5.079 Å, c = 6.948 Å
α = 90.00°, β = 90.54°, γ = 90.00°
Space group Cm (No. 8)
One atom of each set of equivalent atoms:
1 Cs 0.000 0.000 0.000 [2 per cell]
2 C 0.060 0.500 0.499 [2 per cell]
3 F 0.156 0.500 0.342 [2 per cell]
4 F 0.156 0.500 0.658 [2 per cell]
5 F 0.346 0.000 0.003 [2 per cell]
6 F 0.464 0.216 0.497 [4 per cell]


Record 9
SnTeRh3: relaxed, PBE.

Results
- Polymorph energy (0 for the lowest one): 0.000 eV/atom
- Formation energy without anion corrections: -4.3 kcal/mol of atoms
- Total energy: -241.018 eV/cell

a = 11.985 Å, b = 10.847 Å, c = 5.998 Å
α = 90.00°, β = 90.00°, γ = 90.00°
Space group Cmcm (No. 63)
One atom of each set of equivalent atoms:
1 Sn 0.000 0.007 0.250 [4 per cell]
2 Sn 0.000 0.330 0.750 [4 per cell]
3 Te 0.198 0.334 0.250 [8 per cell]
4 Rh 0.115 0.500 0.000 [8 per cell]
5 Rh 0.123 0.158 0.506 [16 per cell]


Record 10
TlZnCrCl2: relaxed, PBE.

Results
- Formation energy without anion corrections: 3.7 kcal/mol of atoms
- Total energy: -16.148 eV/cell

a = 4.643 Å, b = 4.643 Å, c = 6.807 Å
α = 90.00°, β = 90.00°, γ = 90.00°
Space group P4/mmm (No. 123)
One atom of each set of equivalent atoms:
1 Tl 0.000 0.000 0.000 [1 per cell]
2 Zn 0.000 0.000 0.500 [1 per cell]
3 Cr 0.500 0.500 0.000 [1 per cell]
4 Cl 0.000 0.500 0.500 [2 per cell]


Record 11
Tl2CuNi: relaxed, PBE.

Results
- Total energy: -13.577 eV/cell

a = 3.261 Å, b = 3.261 Å, c = 7.471 Å
α = 90.00°, β = 90.00°, γ = 90.00°
Space group P4mm (No. 99)
One atom of each set of equivalent atoms:
1 Tl 0.000 0.000 0.000 [1 per cell]
2 Tl 0.500 0.500 0.374 [1 per cell]
3 Cu 0.000 0.000 0.626 [1 per cell]
4 Ni 0.500 0.500 0.759 [1 per cell]


Record 12
SmPa2NiN4: relaxed, PBE.

Results
- Formation energy without anion corrections: -31.0 kcal/mol of atoms
- Total energy: -294.208 eV/cell

a = 3.482 Å, b = 11.423 Å, c = 11.449 Å
α = 90.00°, β = 90.00°, γ = 90.00°
Space group Cmcm (No. 63)
One atom of each set of equivalent atoms:
1 Sm 0.000 0.105 0.250 [4 per cell]
2 Pa 0.000 0.369 0.061 [8 per cell]
3 Ni 0.000 0.164 0.750 [4 per cell]
4 N 0.000 0.000 0.000 [4 per cell]
5 N 0.000 0.272 0.613 [8 per cell]
6 N 0.000 0.448 0.250 [4 per cell]


Record 13
MgCrFe2: relaxed, PBE.

Results
- Total energy: -27.370 eV/cell

a = 2.835 Å, b = 2.835 Å, c = 6.101 Å
α = 90.00°, β = 90.00°, γ = 90.00°
Space group P4/mmm (No. 123)
One atom of each set of equivalent atoms:
1 Mg 0.000 0.000 0.000 [1 per cell]
2 Cr 0.000 0.000 0.500 [1 per cell]
3 Fe 0.500 0.500 0.286 [2 per cell]


Record 14
AlSb2Pb: relaxed, PBE.

Results
- Polymorph energy (0 for the lowest one): 0.194 eV/atom
- Formation energy without anion corrections: 5.5 kcal/mol of atoms
- Total energy: -29.486 eV/cell

a = 6.676 Å, b = 8.729 Å, c = 3.705 Å
α = 90.00°, β = 90.00°, γ = 90.00°
Space group Cmmm (No. 65)
One atom of each set of equivalent atoms:
1 Al 0.000 0.000 0.000 [2 per cell]
2 Sb 0.250 0.250 0.500 [4 per cell]
3 Pb 0.000 0.500 0.000 [2 per cell]


Record 15
TmZn3Hg3: relaxed, PBE.

Results
- Total energy: -12.953 eV/cell

a = 7.250 Å, b = 7.250 Å, c = 7.250 Å
α = 90.00°, β = 90.00°, γ = 90.00°
Space group Pm-3n (No. 223)
One atom of each set of equivalent atoms:
1 Tm 0.000 0.000 0.000 [2 per cell]
2 Zn 0.000 0.250 0.500 [6 per cell]
3 Hg 0.000 0.500 0.250 [6 per cell]


Record 16
TiZnF3: relaxed, PBE.

Results
- Polymorph energy (0 for the lowest one): 0.679 eV/atom
- Formation energy without anion corrections: -35.6 kcal/mol of atoms
- Total energy: -22.509 eV/cell

a = 4.115 Å, b = 4.115 Å, c = 4.115 Å
α = 90.00°, β = 90.00°, γ = 90.00°
Space group Pm-3m (No. 221)
One atom of each set of equivalent atoms:
1 Ti 0.000 0.000 0.000 [1 per cell]
2 Zn 0.500 0.500 0.500 [1 per cell]
3 F 0.000 0.500 0.500 [3 per cell]


Record 17
La2AlIn2: relaxed, PBE.

Results
- Total energy: -42.289 eV/cell

a = 7.590 Å, b = 7.590 Å, c = 5.039 Å
α = 90.00°, β = 90.00°, γ = 90.00°
Space group P4/mbm (No. 127)
One atom of each set of equivalent atoms:
1 La 0.170 0.330 0.000 [4 per cell]
2 Al 0.000 0.000 0.500 [2 per cell]
3 In 0.137 0.637 0.500 [4 per cell]


Record 18
Mg4BeCd: relaxed, PBE.

Results
- Total energy: -34.225 eV/cell

a = 8.016 Å, b = 8.016 Å, c = 8.016 Å
α = 90.00°, β = 90.00°, γ = 90.00°
Space group F-43m (No. 216)
One atom of each set of equivalent atoms:
1 Mg 0.125 0.125 0.125 [16 per cell]
2 Be 0.250 0.250 0.750 [4 per cell]
3 Cd 0.000 0.000 0.500 [4 per cell]


Record 19
Na2UNiSe4: relaxed, PBE.

Results
- Formation energy without anion corrections: -20.1 kcal/mol of atoms
- Total energy: -40.612 eV/cell

a = 6.582 Å, b = 4.019 Å, c = 7.437 Å
α = 90.00°, β = 108.43°, γ = 90.00°
Space group P2/m (No. 10)
One atom of each set of equivalent atoms:
1 Na 0.000 0.000 0.000 [1 per cell]
2 Na 0.500 0.500 0.000 [1 per cell]
3 U 0.000 0.500 0.500 [1 per cell]
4 Ni 0.500 0.000 0.500 [1 per cell]
5 Se 0.255 0.000 0.728 [2 per cell]
6 Se 0.282 0.500 0.294 [2 per cell]


Record 20
Tb5ErSc6: relaxed, PBE.

Results
- Total energy: -130.068 eV/cell

a = 5.931 Å, b = 10.267 Å, c = 11.126 Å
α = 90.00°, β = 100.21°, γ = 90.00°
Space group C2/m (No. 12)
One atom of each set of equivalent atoms:
1 Tb 0.000 0.000 0.000 [2 per cell]
2 Tb 0.000 0.167 0.500 [4 per cell]
3 Tb 0.000 0.333 0.000 [4 per cell]
4 Er 0.000 0.500 0.500 [2 per cell]
5 Sc 0.250 0.000 0.750 [4 per cell]
6 Sc 0.250 0.167 0.250 [8 per cell]